[1]
The following is a DFT calculation (PBE) of Ce6Ge2Se3S after structural relaxation.

Properties
As for the total magnetic moment: 0.392 μB per atom. The total DFT energy (no corrections) comes out at -6.46 eV per atom.

Unit cell a=18.2963 b=4.2005 c=8.3785 alpha=90.00 beta=103.46 gamma=90.00
Last column: nearest neighbours and their distance in Å.
Space group C2/m (No. 12)
Symmetry-distinct sites (fractional):
1 Ce 0.0000 0.0000 0.2402 [4 per cell]  2 S 2.91, 1 Ge 2.94, 3 Se 2.99-3.03
2 Ce 0.1627 0.5000 0.0828 [4 per cell]  1 S 2.90, 2 Ge 2.95, 3 Se 2.98-3.01
3 Ce 0.1676 0.5000 0.5810 [4 per cell]  3 Ge 2.96-2.97, 3 Se 2.98
4 Ge 0.1654 0.0000 0.3313 [4 per cell]  6 Ce 2.94-2.97
5 Se 0.0000 0.5000 0.5000 [2 per cell]  6 Ce 2.98-3.03
6 Se 0.1682 0.0000 0.8336 [4 per cell]  6 Ce 2.98-3.01
7 S 0.0000 0.5000 0.0000 [2 per cell]  6 Ce 2.90-2.91

---

[2]
The following is a DFT calculation (PBE) of Th6HgP3S2 after structural relaxation.

Properties
As for the total magnetic moment: 0.000 μB per atom. The total DFT energy (no corrections) comes out at -7.15 eV per atom.

Unit cell a=18.1830 b=4.1175 c=8.4333 alpha=90.00 beta=103.59 gamma=90.00
Last column: nearest neighbours and their distance in Å.
Space group C2/m (No. 12)
Symmetry-distinct sites (fractional):
1 Th 0.0013 0.0000 0.2703 [4 per cell]  3 P 2.83-2.92, 1 S 2.97, 2 Hg 3.07
2 Th 0.1643 0.5000 0.5861 [4 per cell]  3 P 2.90-2.92, 3 S 2.94-2.97
3 Th 0.1743 0.5000 0.0824 [4 per cell]  3 P 2.86-2.93, 2 S 2.98, 1 Hg 3.08
4 Hg 0.0000 0.5000 0.0000 [2 per cell]  6 Th 3.07-3.08
5 P 0.0000 0.5000 0.5000 [2 per cell]  6 Th 2.83-2.90
6 P 0.1638 0.0000 0.8307 [4 per cell]  6 Th 2.86-2.93
7 S 0.1693 0.0000 0.3349 [4 per cell]  6 Th 2.94-2.98

---

[3]
The following is a DFT calculation (PBE) of Hf5ZrBi2 after structural relaxation.

Properties
As for the total magnetic moment: 0.000 μB per atom. The energy of formation from the pure elements is 0.94 kcal/mol of atoms.

Unit cell a=3.2810 b=10.0826 c=11.4009 alpha=90.00 beta=90.00 gamma=90.00
Last column: nearest neighbours and their distance in Å.
Space group Immm (No. 71)
Symmetry-distinct sites (fractional):
1 Hf 0.0000 0.0000 0.0000 [2 per cell]  2 Bi 3.04, 10 Hf 3.13-3.28
2 Hf 0.0000 0.2791 0.3717 [8 per cell]  3 Hf 2.93-3.13, 3 Bi 3.06-3.18
3 Zr 0.0000 0.5000 0.0000 [2 per cell]  4 Bi 3.13, 2 Zr 3.28
4 Bi 0.0000 0.0000 0.2665 [4 per cell]  7 Hf 3.04-3.18, 2 Zr 3.13, 2 Bi 3.28

---

[4]
The following is a DFT calculation (PBE) of Sm3Dy4In4 after structural relaxation.

Properties
As for the total magnetic moment: 0.000 μB per atom. The energy of formation from the pure elements is -6.29 kcal/mol of atoms.

Unit cell a=5.3067 b=6.9864 c=17.7122 alpha=90.00 beta=90.00 gamma=90.00
Last column: nearest neighbours and their distance in Å.
Space group Immm (No. 71)
Symmetry-distinct sites (fractional):
1 Sm 0.0000 0.0000 0.0000 [2 per cell]  6 In 3.11-3.32
2 Sm 0.0000 0.5000 0.1016 [4 per cell]  4 Dy 3.51, 6 In 3.54-3.73, 3 Sm 3.60-3.93
3 Dy 0.0000 0.2638 0.3208 [8 per cell]  4 In 3.13-3.19, 1 Dy 3.30
4 In 0.0000 0.0000 0.1754 [4 per cell]  1 Sm 3.11, 6 Dy 3.13-3.17
5 In 0.0000 0.2155 0.5000 [4 per cell]  1 In 3.01, 2 Dy 3.19, 2 Sm 3.32

---

[5]
The following is a DFT calculation (PBE) of BaSrBr2 after structural relaxation.

Properties
As for the total magnetic moment: 0.000 μB per atom. The calculation puts the excess energy over the best structure of this formula in the dataset at 0.026 eV/atom.

Unit cell a=4.8184 b=4.8184 c=28.6110 alpha=90.00 beta=90.00 gamma=120.00
Last column: nearest neighbours and their distance in Å.
Space group R-3m (No. 166, hexagonal axes)
Symmetry-distinct sites (fractional):
1 Ba 0.0000 0.0000 0.0000 [3 per cell]  2 Br 3.34
2 Sr 0.0000 0.0000 0.5000 [3 per cell]  6 Br 3.13
3 Br 0.0000 0.0000 0.1166 [6 per cell]  3 Sr 3.13, 1 Ba 3.34

---

[6]
The following is a DFT calculation (PBE) of Ba2TmAgO5 after structural relaxation.

Properties
As for the total magnetic moment: 0.000 μB per atom. The total DFT energy (no corrections) comes out at -6.08 eV per atom.

Unit cell a=3.5974 b=14.0026 c=12.0826 alpha=90.00 beta=90.00 gamma=90.00
Last column: nearest neighbours and their distance in Å.
Space group Cmc2_1 (No. 36)
Symmetry-distinct sites (fractional):
1 Ba 0.0000 0.0922 0.0000 [4 per cell]  4 O 2.56-2.65
2 Ba 0.0000 0.1508 0.6200 [4 per cell]  7 O 2.61-2.91
3 Tm 0.0000 0.2083 0.3424 [4 per cell]  4 O 2.12-2.35
4 Ag 0.0000 0.4779 0.7679 [4 per cell]  3 O 2.09-2.14
5 O 0.0000 0.0611 0.3841 [4 per cell]  1 Tm 2.12, 2 Ag 2.35
6 O 0.0000 0.2719 0.9555 [4 per cell]  2 Tm 2.28
7 O 0.0000 0.3303 0.7214 [4 per cell]  1 Ag 2.14, 2 Tm 2.38
8 O 0.0000 0.3732 0.3072 [4 per cell]  1 Ag 2.14, 1 Tm 2.35
9 O 0.0000 0.4835 0.1012 [4 per cell]  1 Ag 2.09

---

[7]
The following is a DFT calculation (PBE) of NbFe2CuC after structural relaxation.

Properties
As for the total magnetic moment: 0.000 μB per atom. The energy of formation from the pure elements is 34.63 kcal/mol of atoms.

Unit cell a=4.3915 b=4.3915 c=3.4331 alpha=90.00 beta=90.00 gamma=90.00
Last column: nearest neighbours and their distance in Å.
Space group P4/mmm (No. 123)
Symmetry-distinct sites (fractional):
1 Nb 0.0000 0.0000 0.0000 [1 per cell]  8 Fe 2.79, 4 C 3.11
2 Fe 0.0000 0.5000 0.5000 [2 per cell]  2 Cu 2.20
3 Cu 0.5000 0.5000 0.5000 [1 per cell]  2 C 1.72
4 C 0.5000 0.5000 0.0000 [1 per cell]  2 Cu 1.72

---

[8]
The following is a DFT calculation (PBE) of KBaW2 after structural relaxation.

Properties
As for the total magnetic moment: 0.000 μB per atom. The calculation puts the excess energy over the best structure of this formula in the dataset at 0.478 eV/atom. The energy of formation from the pure elements is 31.67 kcal/mol of atoms.

Unit cell a=3.2891 b=6.1027 c=7.6552 alpha=90.00 beta=97.85 gamma=90.00
Last column: nearest neighbours and their distance in Å.
Space group P2/m (No. 10)
Symmetry-distinct sites (fractional):
1 K 0.0000 0.0000 0.0000 [1 per cell]  2 K 3.29
2 Ba 0.5000 0.0000 0.5000 [1 per cell]  4 W 3.29, 2 Ba 3.29
3 W 0.2782 0.5000 0.6165 [2 per cell]  2 W 2.37-2.45

---

[9]
The following is a DFT calculation (PBE) of CoCl after structural relaxation.

Properties
As for the total magnetic moment: 1.041 μB per atom. The total DFT energy (no corrections) comes out at -4.36 eV per atom.

Unit cell a=6.7983 b=3.1660 c=7.0054 alpha=90.00 beta=90.00 gamma=90.00
Last column: nearest neighbours and their distance in Å.
Space group Pnma (No. 62)
Symmetry-distinct sites (fractional):
1 Co 0.0195 0.2500 0.1148 [4 per cell]  2 Co 2.27, 2 Cl 2.45
2 Cl 0.2238 0.2500 0.7095 [4 per cell]  4 Co 2.45-2.60

---

[10]
The following is a DFT calculation (PBE) of PrGa2HRu2 after structural relaxation.

Properties
As for the total magnetic moment: 0.000 μB per atom. The total DFT energy (no corrections) comes out at -5.88 eV per atom.

Unit cell a=4.1818 b=4.1818 c=5.3798 alpha=90.00 beta=90.00 gamma=90.00
Last column: nearest neighbours and their distance in Å.
Space group P4/mmm (No. 123)
Symmetry-distinct sites (fractional):
1 Pr 0.0000 0.0000 0.0000 [1 per cell]  2 H 2.69
2 Ga 0.5000 0.5000 0.2353 [2 per cell]  4 Ru 2.53, 1 Ga 2.53
3 H 0.0000 0.0000 0.5000 [1 per cell]  4 Ru 2.09
4 Ru 0.0000 0.5000 0.5000 [2 per cell]  2 H 2.09

---

[11]
The following is a DFT calculation (PBE) of Ho4Er after structural relaxation.

Properties
As for the total magnetic moment: 0.033 μB per atom. The calculation puts the excess energy over the best structure of this formula in the dataset at 0.357 eV/atom. The energy of formation from the pure elements is 8.73 kcal/mol of atoms.

Unit cell a=4.4508 b=4.4508 c=16.5316 alpha=90.00 beta=90.00 gamma=90.00
Last column: nearest neighbours and their distance in Å.
Space group I4/mmm (No. 139)
Symmetry-distinct sites (fractional):
1 Ho 0.0000 0.0000 0.0936 [4 per cell]  5 Ho 3.10-3.41
2 Ho 0.0000 0.5000 0.2500 [4 per cell]  8 Ho 3.15-3.41
3 Er 0.0000 0.0000 0.5000 [2 per cell]  8 Ho 3.51

---

[12]
The following is a DFT calculation (PBE) of Ca2TaReW after structural relaxation.

Properties
As for the total magnetic moment: 0.001 μB per atom. The energy of formation from the pure elements is 55.96 kcal/mol of atoms.

Unit cell a=5.3251 b=5.3251 c=4.7154 alpha=90.00 beta=90.00 gamma=90.00
Last column: nearest neighbours and their distance in Å.
Space group P4/mmm (No. 123)
Symmetry-distinct sites (fractional):
1 Ca 0.0000 0.5000 0.0000 [2 per cell]  2 Ta 2.66
2 Ta 0.0000 0.0000 0.0000 [1 per cell]  2 W 2.36
3 Re 0.5000 0.5000 0.5000 [1 per cell]  8 Ca 3.56, 4 W 3.77
4 W 0.0000 0.0000 0.5000 [1 per cell]  2 Ta 2.36

---

[13]
The following is a DFT calculation (PBE) of Na4ZrTi3Te8 after structural relaxation.

Properties
As for the total magnetic moment: 0.217 μB per atom. The total DFT energy (no corrections) comes out at -4.73 eV per atom.

Unit cell a=8.1100 b=8.1100 c=23.1325 alpha=90.00 beta=90.00 gamma=120.00
Last column: nearest neighbours and their distance in Å.
Space group R-3m (No. 166, hexagonal axes)
Symmetry-distinct sites (fractional):
1 Na 0.0000 0.0000 0.0000 [3 per cell]  6 Te 3.16
2 Na 0.0000 0.5000 0.0000 [9 per cell]  6 Te 3.22-3.23
3 Zr 0.0000 0.0000 0.5000 [3 per cell]  6 Te 2.92
4 Ti 0.0000 0.5000 0.5000 [9 per cell]  6 Te 2.85-2.86
5 Te 0.0000 0.0000 0.2373 [6 per cell]  3 Ti 2.85
6 Te 0.0078 0.5039 0.7609 [18 per cell]  2 Ti 2.86, 1 Zr 2.92, 1 Na 3.16

---

[14]
The following is a DFT calculation (PBE) of KCrN3 after structural relaxation.

Properties
As for the total magnetic moment: 0.077 μB per atom. The total DFT energy (no corrections) comes out at -3.42 eV per atom.

Unit cell a=4.0286 b=4.0286 c=4.0286 alpha=90.00 beta=90.00 gamma=90.00
Last column: nearest neighbours and their distance in Å.
Space group Pm-3m (No. 221)
Symmetry-distinct sites (fractional):
1 K 0.0000 0.0000 0.0000 [1 per cell]  6 N 2.01
2 Cr 0.5000 0.5000 0.5000 [1 per cell]  12 N 2.85
3 N 0.0000 0.0000 0.5000 [3 per cell]  2 K 2.01

---

[15]
The following is a DFT calculation (PBE) of BaIn2Tc after structural relaxation.

Properties
As for the total magnetic moment: 0.000 μB per atom. The calculation puts the excess energy over the best structure of this formula in the dataset at 0.042 eV/atom. The energy of formation from the pure elements is 4.01 kcal/mol of atoms.

Unit cell a=3.3609 b=4.5082 c=14.7909 alpha=90.00 beta=90.00 gamma=90.00
Last column: nearest neighbours and their distance in Å.
Space group Imm2 (No. 44)
Symmetry-distinct sites (fractional):
1 Ba 0.0000 0.0000 0.0000 [2 per cell]  2 Tc 3.35, 2 Ba 3.36, 6 In 3.63
2 In 0.0000 0.0000 0.6554 [2 per cell]  2 Tc 2.76
3 In 0.0000 0.5000 0.8081 [2 per cell]  4 Tc 2.81
4 Tc 0.0000 0.5000 0.3038 [2 per cell]  6 In 2.76-2.81

---

[16]
The following is a DFT calculation (PBE) of BaTcAu2 after structural relaxation.

Properties
As for the total magnetic moment: 0.571 μB per atom. The calculation puts the excess energy over the best structure of this formula in the dataset at 0.364 eV/atom. The energy of formation from the pure elements is 9.54 kcal/mol of atoms.

Unit cell a=5.1601 b=5.1601 c=3.4927 alpha=90.00 beta=90.00 gamma=90.00
Last column: nearest neighbours and their distance in Å.
Space group P4/mmm (No. 123)
Symmetry-distinct sites (fractional):
1 Ba 0.0000 0.0000 0.0000 [1 per cell]  8 Au 3.12
2 Tc 0.5000 0.5000 0.0000 [1 per cell]  8 Au 3.12
3 Au 0.0000 0.5000 0.5000 [2 per cell]  4 Ba 3.12, 4 Tc 3.12

---

[17]
The following is a DFT calculation (PBE) of AcNp2Tl3Te6 after structural relaxation.

Properties
As for the total magnetic moment: 0.667 μB per atom. The total DFT energy (no corrections) comes out at -5.40 eV per atom.

Unit cell a=7.9832 b=13.8117 c=8.5894 alpha=90.00 beta=108.04 gamma=90.00
Last column: nearest neighbours and their distance in Å.
Space group C2/m (No. 12)
Symmetry-distinct sites (fractional):
1 Ac 0.0000 0.0000 0.0000 [2 per cell]  6 Te 3.31-3.32
2 Np 0.0000 0.3326 0.0000 [4 per cell]  6 Te 3.15-3.16
3 Tl 0.0000 0.1625 0.5000 [4 per cell]  6 Te 3.44-3.56
4 Tl 0.0000 0.5000 0.5000 [2 per cell]  6 Te 3.43-3.55
5 Te 0.2216 0.5000 0.2163 [4 per cell]  2 Np 3.15, 1 Ac 3.31, 1 Tl 3.43
6 Te 0.2490 0.1750 0.2208 [8 per cell]  2 Np 3.15-3.16, 1 Ac 3.32, 1 Tl 3.44

---

[18]
The following is a DFT calculation (PBE) of CoIr4 after structural relaxation.

Properties
As for the total magnetic moment: 0.620 μB per atom. The calculation puts the excess energy over the best structure of this formula in the dataset at 1.660 eV/atom. The energy of formation from the pure elements is 38.38 kcal/mol of atoms.

Unit cell a=4.3813 b=4.3813 c=4.3813 alpha=90.00 beta=90.00 gamma=90.00
Last column: nearest neighbours and their distance in Å.
Space group Pm-3m (No. 221)
Symmetry-distinct sites (fractional):
1 Co 0.0000 0.0000 0.0000 [1 per cell]  6 Ir 2.19
2 Ir 0.0000 0.0000 0.5000 [3 per cell]  2 Co 2.19
3 Ir 0.5000 0.5000 0.5000 [1 per cell]  12 Ir 3.10

---

[19]
The following is a DFT calculation (PBE) of CeMg6Cr after structural relaxation.

Properties
As for the total magnetic moment: 0.349 μB per atom. The calculation puts the excess energy over the best structure of this formula in the dataset at 0.000 eV/atom. The energy of formation from the pure elements is 4.65 kcal/mol of atoms.

Unit cell a=5.1171 b=6.0370 c=12.0359 alpha=90.00 beta=90.00 gamma=90.00
Last column: nearest neighbours and their distance in Å.
Space group Amm2 (No. 38)
Symmetry-distinct sites (fractional):
1 Ce 0.0000 0.0000 0.0000 [2 per cell]  2 Cr 3.04, 8 Mg 3.20-3.32
2 Mg 0.0000 0.2484 0.7457 [4 per cell]  8 Mg 3.00-3.34, 1 Cr 3.12, 1 Ce 3.32
3 Mg 0.5000 0.0000 0.1598 [2 per cell]  8 Mg 3.06-3.17, 2 Ce 3.20
4 Mg 0.5000 0.0000 0.6185 [2 per cell]  8 Mg 3.06-3.34, 2 Cr 3.11
5 Mg 0.5000 0.2478 0.3923 [4 per cell]  6 Mg 2.99-3.17, 2 Cr 3.12, 2 Ce 3.25
6 Cr 0.0000 0.0000 0.4722 [2 per cell]  2 Ce 3.04, 8 Mg 3.11-3.12

---

[20]
The following is a DFT calculation (PBE) of NaN2ClF8 after structural relaxation.

Properties
As for the total magnetic moment: 0.011 μB per atom. The total DFT energy (no corrections) comes out at -3.67 eV per atom.

Unit cell a=8.9039 b=6.8906 c=7.2199 alpha=90.00 beta=120.94 gamma=90.00
Last column: nearest neighbours and their distance in Å.
Space group C2/m (No. 12)
Symmetry-distinct sites (fractional):
1 Na 0.0000 0.0000 0.0000 [2 per cell]  2 F 2.19
2 N 0.0266 0.5000 0.8224 [4 per cell]  3 F 1.40-1.43
3 Cl 0.0000 0.0000 0.5000 [2 per cell]  2 F 1.89
4 F 0.0850 0.3422 0.2831 [8 per cell]  1 N 1.40
5 F 0.1238 0.0000 0.8057 [4 per cell]  1 Cl 1.89
6 F 0.1336 0.5000 0.7285 [4 per cell]  1 N 1.43